(1)
Below is an optimized crystal structure of NaLaH2W, with properties calculated at the PBE level.

Cell lengths 4.296, 5.574, 4.296 Å; angles 90.00, 90.00, 90.00 degrees
Fractional coordinates of all 5 atoms:
La  0.500  0.500  0.500
Na  0.000  0.000  0.000
W  0.000  0.500  0.000
H  0.500  0.000  0.000
H  0.000  0.000  0.500

Results
Its symmetry is P4/mmm. Its crystal system is tetragonal. As for the total energy: -3.960 eV/atom.



(2)
Below is an optimized crystal structure of NaLa2YH, with properties calculated at the PBE level.

Cell lengths 5.287, 5.287, 4.980 Å; angles 90.00, 90.00, 90.00 degrees
Fractional coordinates of all 5 atoms:
La  0.000  0.500  0.000
La  0.500  0.000  0.000
Na  0.500  0.500  0.500
Y  0.000  0.000  0.500
H  0.000  0.000  0.000

Results
Its symmetry is P4/mmm. Its relative energy among the computed polymorphs is 0.010 eV/atom. Its crystal system is tetragonal.



(3)
Below is an optimized crystal structure of NaLa2YH, with properties calculated at the PBE level.

Cell lengths 5.291, 5.291, 4.873 Å; angles 90.00, 90.00, 90.00 degrees
Fractional coordinates of all 5 atoms:
La  0.500  0.000  0.000
Na  0.000  0.000  0.500
H  0.000  0.000  0.000
Y  0.500  0.500  0.500
La  0.000  0.500  0.000

Results
Its symmetry is P4/mmm. Its relative energy among the computed polymorphs is 0.000 eV/atom. Its crystal system is tetragonal.



(4)
Below is an optimized crystal structure of LaNb2H, with properties calculated at the PBE level.

Cell lengths 6.022, 6.022, 6.031 Å; angles 60.05, 60.05, 90.00 degrees
Fractional coordinates of all 8 atoms:
Nb  0.375  0.625  0.250
H  0.250  0.750  0.500
Nb  0.875  0.625  0.750
La  0.000  0.000  0.000
H  0.500  0.500  0.000
La  0.750  0.250  0.500
Nb  0.375  0.125  0.250
Nb  0.375  0.625  0.750

Results
Its symmetry is I4_1/amd. Its relative energy among the computed polymorphs is 0.000 eV/atom. Its crystal system is tetragonal.



(5)
Below is an optimized crystal structure of LaNbH2, with properties calculated at the PBE level.

Cell lengths 5.507, 5.507, 5.402 Å; angles 59.36, 59.36, 90.00 degrees
Fractional coordinates of all 8 atoms:
H  0.194  0.625  0.250
H  0.875  0.806  0.750
La  0.750  0.250  0.500
La  0.000  0.000  0.000
Nb  0.250  0.750  0.500
Nb  0.500  0.500  0.000
H  0.375  0.444  0.750
H  0.556  0.125  0.250

Results
Its symmetry is I-42d. Its relative energy among the computed polymorphs is 0.000 eV/atom. Its crystal system is tetragonal.



(6)
Below is an optimized crystal structure of LaNb3H, with properties calculated at the PBE level.

Cell lengths 4.901, 4.901, 4.901 Å; angles 90.00, 90.00, 90.00 degrees
Fractional coordinates of all 5 atoms:
La  0.000  0.000  0.000
Nb  0.000  0.000  0.500
Nb  0.000  0.500  0.000
Nb  0.500  0.000  0.000
H  0.500  0.500  0.500

Results
Its symmetry is Pm-3m. Its relative energy among the computed polymorphs is 2.016 eV/atom. Its crystal system is cubic.



(7)
Below is an optimized crystal structure of La2NbH, with properties calculated at the PBE level.

Cell lengths 5.044, 5.044, 5.044 Å; angles 60.00, 60.00, 60.00 degrees
Fractional coordinates of all 4 atoms:
H  0.000  0.000  0.000
La  0.750  0.750  0.750
Nb  0.500  0.500  0.500
La  0.250  0.250  0.250

Results
Its symmetry is Fm-3m. Its relative energy among the computed polymorphs is 0.071 eV/atom. Its crystal system is cubic.



(8)
Below is an optimized crystal structure of LaNb2H, with properties calculated at the PBE level.

Cell lengths 4.641, 4.641, 4.641 Å; angles 60.00, 60.00, 60.00 degrees
Fractional coordinates of all 4 atoms:
H  0.000  0.000  0.000
La  0.500  0.500  0.500
Nb  0.250  0.250  0.250
Nb  0.750  0.750  0.750

Results
Its symmetry is Fm-3m. Its relative energy among the computed polymorphs is 1.198 eV/atom. Its crystal system is cubic.